No. 1
DFT (PBE) results for crystalline HfAgC2I at its relaxed geometry.

Unit cell a=4.163 b=4.163 c=5.655 alpha=90.00 beta=90.00 gamma=90.00
Space group P4/mmm (No. 123)
Asymmetric unit:
1 Hf 0.000 0.000 0.000 x1
2 Ag 0.500 0.500 0.500 x1
3 C 0.000 0.500 0.500 x2
4 I 0.500 0.500 0.000 x1

Output
Raw formation energy (eV/atom): 2.41

No. 2
DFT (PBE) results for crystalline Ca2SiSe at its relaxed geometry.

Unit cell a=3.571 b=5.175 c=5.238 alpha=90.00 beta=90.00 gamma=90.00
Space group Pmmm (No. 47)
Asymmetric unit:
1 Ca 0.000 0.000 0.000 x1
2 Ca 0.000 0.500 0.500 x1
3 Si 0.500 0.000 0.500 x1
4 Se 0.500 0.500 0.000 x1

Output
Raw formation energy (eV/atom): -0.80

No. 3
DFT (PBE) results for crystalline SrAc4Ir2 at its relaxed geometry.

Unit cell a=4.3920 b=4.3920 c=52.5799 alpha=90.00 beta=90.00 gamma=120.00
Space group R-3m (No. 166, hexagonal axes)
Asymmetric unit:
1 Sr 0.0000 0.0000 0.0000 x3
2 Ac 0.0000 0.0000 0.1293 x6
3 Ac 0.0000 0.0000 0.2635 x6
4 Ir 0.0000 0.0000 0.4330 x6

Output
Energy of formation from the pure elements (eV/atom): -0.50

No. 4
DFT (PBE) results for crystalline UNi3 at its relaxed geometry.

Unit cell a=3.843 b=3.843 c=7.700 alpha=90.00 beta=90.00 gamma=90.00
Space group I4/mmm (No. 139)
Asymmetric unit:
1 U 0.000 0.000 0.000 x2
2 Ni 0.000 0.000 0.500 x2
3 Ni 0.000 0.500 0.250 x4

Output
Energy of formation from the pure elements (eV/atom): -0.14

No. 5
DFT (PBE) results for crystalline PrAlTe3 at its relaxed geometry.

Unit cell a=7.711 b=8.050 c=12.605 alpha=90.00 beta=121.81 gamma=90.00
Space group P2_1/c (No. 14)
Asymmetric unit:
1 Pr 0.158 0.130 0.224 x4
2 Al 0.277 0.685 0.125 x4
3 Te 0.081 0.202 0.935 x4
4 Te 0.266 0.676 0.915 x4
5 Te 0.460 0.044 0.804 x4

Output
Raw formation energy (eV/atom): -0.86

No. 6
DFT (PBE) results for crystalline Nd3Sm8Er2 at its relaxed geometry.

Unit cell a=20.301 b=7.753 c=5.767 alpha=90.00 beta=90.05 gamma=90.00
Space group C2/m (No. 12)
Asymmetric unit:
1 Nd 0.000 0.000 0.000 x2
2 Nd 0.000 0.290 0.500 x4
3 Sm 0.109 0.292 0.000 x8
4 Sm 0.135 0.000 0.499 x4
5 Sm 0.174 0.500 0.502 x4
6 Er 0.241 0.000 0.998 x4

Output
Energy of formation from the pure elements (eV/atom): 0.22

Number 1: total magnetization 0.0 μB/f.u.. Number 2: total magnetization 0.0 μB/f.u.. Number 3: total magnetization 0.0 μB/f.u.. Number 4: total magnetization 1.3 μB/f.u.. Number 5: total magnetization 0.0 μB/f.u.. Number 6: total magnetization 0.0 μB/f.u..